A plane-wave DFT calculation with PBE-GGA was carried out for TbInCu after structural relaxation.

Output
For the total energy, the calculation gives -4.109 eV per atom. For the magnetic moment, the calculation gives 0.0004 μB/atom.

a b c (Å): 7.376 7.376 4.051
angles (deg): 90.00 90.00 120.00
Fractional positions:
In (0.749, 0.749, 0.000)
In (0.000, 0.251, 0.000)
In (0.251, 0.000, 0.000)
Tb (0.588, 0.000, 0.500)
Tb (0.412, 0.412, 0.500)
Tb (0.000, 0.588, 0.500)
Cu (0.667, 0.333, 0.000)
Cu (0.333, 0.667, 0.000)
Cu (0.000, 0.000, 0.500)